Compound: CoB2Pb
Source: the Alexandria database
Functional: PBE-GGA
Structure: optimized geometry

Unit cell a=7.648 b=7.648 c=7.648 alpha=151.13 beta=151.13 gamma=41.28
Atoms (fractional coordinates):
Co1 0.375 0.625 0.750
Co2 0.625 0.375 0.250
B1 0.000 0.500 0.500
B2 0.500 0.000 0.000
B3 0.500 0.500 0.000
B4 0.500 0.500 0.500
Pb1 0.125 0.875 0.250
Pb2 0.875 0.125 0.750

Summary:
Calculated density   9.2 Mg/m³
Total energy   -44.0 eV for the cell shown
Total moment   0.000 Bohr magnetons per cell
Formation energy from the elements   0.546 eV/atom

Compound: SrTaPt2
Source: the Alexandria database
Functional: PBE-GGA
Structure: optimized geometry

Unit cell a=4.836 b=4.836 c=4.836 alpha=60.00 beta=60.00 gamma=60.00
Atoms (fractional coordinates):
Sr1 0.000 0.000 0.000
Ta1 0.500 0.500 0.500
Pt1 0.250 0.250 0.250
Pt2 0.750 0.750 0.750

Summary:
Calculated density   13.7 Mg/m³
Total energy   -26.1 eV for the cell shown
Total moment   0.000 Bohr magnetons per cell
Energy above the most stable polymorph in this dataset   458 meV/atom
Formation energy from the elements   -0.122 eV/atom

Compound: NdErCo
Source: the Alexandria database
Functional: PBE-GGA
Structure: optimized geometry

Unit cell a=6.845 b=6.845 c=6.845 alpha=151.19 beta=151.19 gamma=41.19
Atoms (fractional coordinates):
Nd1 0.000 0.000 0.000
Er1 0.256 0.256 0.000
Co1 0.637 0.637 0.000

Summary:
Calculated density   8.3 Mg/m³
Total energy   -16.6 eV for the cell shown
Total moment   0.738 Bohr magnetons per cell
Energy above the most stable polymorph in this dataset   57 meV/atom
Formation energy from the elements   -0.055 eV/atom

Compound: CeHoTm2Se6
Source: the Alexandria database
Functional: PBE-GGA
Structure: optimized geometry

Unit cell a=7.690 b=7.690 c=7.690 alpha=56.09 beta=56.09 gamma=56.09
Atoms (fractional coordinates):
Ce1 0.000 0.000 0.000
Ho1 0.505 0.505 0.505
Tm1 0.199 0.199 0.199
Tm2 0.702 0.702 0.702
Se1 0.098 0.418 0.801
Se2 0.320 0.915 0.579
Se3 0.418 0.801 0.098
Se4 0.579 0.320 0.915
Se5 0.801 0.098 0.418
Se6 0.915 0.579 0.320

Summary:
Calculated density   6.3 Mg/m³
Total energy   -58.5 eV for the cell shown
Total moment   1.003 Bohr magnetons per cell
Raw formation energy   -1.81 eV per atom

Compound: Ba2TaIn
Source: the Alexandria database
Functional: PBE-GGA
Structure: optimized geometry

Unit cell a=5.862 b=5.862 c=5.862 alpha=60.00 beta=60.00 gamma=60.00
Atoms (fractional coordinates):
Ba1 0.250 0.250 0.250
Ba2 0.750 0.750 0.750
Ta1 0.000 0.000 0.000
In1 0.500 0.500 0.500

Summary:
Calculated density   6.6 Mg/m³
Total energy   -15.6 eV for the cell shown
Total moment   2.522 Bohr magnetons per cell
Energy above the most stable polymorph in this dataset   269 meV/atom
Formation energy from the elements   0.719 eV/atom

Compound: Er2TlPb2
Source: the Alexandria database
Functional: PBE-GGA
Structure: optimized geometry

Unit cell a=5.055 b=17.453 c=3.605 alpha=90.00 beta=90.00 gamma=90.00
Atoms (fractional coordinates):
Er1 0.003 0.181 0.000
Er2 0.497 0.681 0.000
Er3 0.503 0.319 0.000
Er4 0.997 0.819 0.000
Tl1 0.000 0.000 0.000
Tl2 0.500 0.500 0.000
Pb1 0.003 0.358 0.500
Pb2 0.497 0.858 0.500
Pb3 0.503 0.142 0.500
Pb4 0.997 0.642 0.500

Summary:
Calculated density   10.0 Mg/m³
Total energy   -39.6 eV for the cell shown
Total moment   0.000 Bohr magnetons per cell
Energy above the most stable polymorph in this dataset   105 meV/atom
Formation energy from the elements   -0.177 eV/atom

Compound: PmPrTm3Sc
Source: the Alexandria database
Functional: PBE-GGA
Structure: optimized geometry

Unit cell a=7.861 b=7.861 c=9.946 alpha=90.00 beta=90.00 gamma=143.03
Atoms (fractional coordinates):
Pm1 0.002 0.998 0.750
Pm2 0.998 0.002 0.250
Pr1 0.500 0.500 0.000
Pr2 0.500 0.500 0.500
Tm1 0.170 0.830 0.000
Tm2 0.170 0.830 0.500
Tm3 0.329 0.671 0.750
Tm4 0.671 0.329 0.250
Tm5 0.830 0.170 0.000
Tm6 0.830 0.170 0.500
Sc1 0.331 0.669 0.250
Sc2 0.669 0.331 0.750

Summary:
Calculated density   7.5 Mg/m³
Total energy   -58.0 eV for the cell shown
Total moment   0.000 Bohr magnetons per cell
Formation energy from the elements   0.044 eV/atom

Compound: PuMgTe2
Source: the Alexandria database
Functional: PBE-GGA
Structure: optimized geometry

Unit cell a=7.884 b=7.884 c=7.884 alpha=31.17 beta=31.17 gamma=31.17
Atoms (fractional coordinates):
Pu1 0.000 0.000 0.000
Mg1 0.833 0.833 0.833
Te1 0.243 0.243 0.243
Te2 0.426 0.426 0.426

Summary:
Calculated density   7.5 Mg/m³
Total energy   -25.7 eV for the cell shown
Total moment   6.000 Bohr magnetons per cell
Energy above the most stable polymorph in this dataset   4 meV/atom
Raw formation energy   -0.87 eV per atom

Compound: Tb3SmY6Er2
Source: the Alexandria database
Functional: PBE-GGA
Structure: optimized geometry

Unit cell a=6.167 b=6.167 c=11.807 alpha=94.97 beta=94.97 gamma=119.95
Atoms (fractional coordinates):
Tb1 0.000 0.000 0.000
Tb2 0.333 0.667 0.000
Tb3 0.667 0.333 0.000
Sm1 0.500 0.500 0.500
Y1 0.083 0.416 0.250
Y2 0.250 0.250 0.750
Y3 0.416 0.083 0.250
Y4 0.584 0.917 0.750
Y5 0.750 0.750 0.250
Y6 0.917 0.584 0.750
Er1 0.167 0.833 0.500
Er2 0.833 0.167 0.500

Summary:
Calculated density   6.5 Mg/m³
Total energy   -66.3 eV for the cell shown
Total moment   0.000 Bohr magnetons per cell
Formation energy from the elements   0.020 eV/atom

Compound: AcTb2Ga6
Source: the Alexandria database
Functional: PBE-GGA
Structure: optimized geometry

Unit cell a=7.817 b=7.817 c=7.817 alpha=146.93 beta=123.33 gamma=67.20
Atoms (fractional coordinates):
Ac1 0.000 0.000 0.000
Tb1 0.372 0.872 0.500
Tb2 0.628 0.128 0.500
Ga1 0.017 0.314 0.703
Ga2 0.328 0.500 0.828
Ga3 0.388 0.686 0.703
Ga4 0.612 0.314 0.297
Ga5 0.672 0.500 0.172
Ga6 0.983 0.686 0.297

Summary:
Calculated density   7.4 Mg/m³
Total energy   -36.0 eV for the cell shown
Total moment   0.000 Bohr magnetons per cell
Energy above the most stable polymorph in this dataset   118 meV/atom
Formation energy from the elements   -0.495 eV/atom

Compound: PmSeO4F
Source: the Alexandria database
Functional: PBE-GGA
Structure: optimized geometry

Unit cell a=5.981 b=5.981 c=6.859 alpha=102.45 beta=102.45 gamma=76.20
Atoms (fractional coordinates):
Pm1 0.207 0.207 0.121
Pm2 0.793 0.793 0.879
Se1 0.350 0.350 0.722
Se2 0.650 0.650 0.278
O1 0.132 0.480 0.855
O2 0.244 0.244 0.487
O3 0.473 0.473 0.264
O4 0.480 0.132 0.855
O5 0.520 0.868 0.145
O6 0.527 0.527 0.736
O7 0.756 0.756 0.513
O8 0.868 0.520 0.145
F1 0.022 0.022 0.826
F2 0.978 0.978 0.174

Summary:
Calculated density   4.4 Mg/m³
Total energy   -88.6 eV for the cell shown
Total moment   0.000 Bohr magnetons per cell
Raw formation energy   -2.05 eV per atom

Compound: Th2ZnGa2
Source: the Alexandria database
Functional: PBE-GGA
Structure: optimized geometry

Unit cell a=5.939 b=5.939 c=10.721 alpha=115.55 beta=115.55 gamma=44.17
Atoms (fractional coordinates):
Th1 0.008 0.008 0.329
Th2 0.186 0.186 0.101
Th3 0.814 0.814 0.899
Th4 0.992 0.992 0.671
Zn1 0.280 0.280 0.652
Zn2 0.720 0.720 0.348
Ga1 0.356 0.356 0.434
Ga2 0.479 0.479 0.115
Ga3 0.521 0.521 0.885
Ga4 0.644 0.644 0.566

Summary:
Calculated density   9.5 Mg/m³
Total energy   -49.1 eV for the cell shown
Total moment   0.000 Bohr magnetons per cell
Formation energy from the elements   -0.479 eV/atom